La2Pm3Dy6Sc: optimized geometry, GGA-PBE.

Lattice parameters (Å, degrees): 6.202 6.202 11.849 95.00 95.00 120.01
Atoms (fractional coordinates):
La1 0.166 0.834 0.000
La2 0.834 0.166 0.000
Pm1 0.000 0.000 0.500
Pm2 0.333 0.667 0.500
Pm3 0.667 0.333 0.500
Dy1 0.087 0.417 0.751
Dy2 0.253 0.253 0.250
Dy3 0.417 0.087 0.751
Dy4 0.583 0.913 0.249
Dy5 0.747 0.747 0.750
Dy6 0.913 0.583 0.249
Sc1 0.500 0.500 0.000

Magnetic moment in μB per formula unit: 0.000
Formation energy from the elements in eV per formula unit: 0.311
Calculated volume in Å³/atom: 32.38

=====

LaPm5Dy2Sc: optimized geometry, GGA-PBE.

Lattice parameters (Å, degrees): 10.421 10.421 10.523 90.00 90.00 148.37
Atoms (fractional coordinates):
La1 0.087 0.913 0.500
La2 0.913 0.087 0.000
Pm1 0.016 0.984 0.785
Pm2 0.125 0.875 0.062
Pm3 0.203 0.797 0.749
Pm4 0.223 0.777 0.365
Pm5 0.482 0.518 0.062
Pm6 0.518 0.482 0.562
Pm7 0.777 0.223 0.865
Pm8 0.797 0.203 0.249
Pm9 0.875 0.125 0.562
Pm10 0.984 0.016 0.285
Dy1 0.385 0.615 0.778
Dy2 0.388 0.612 0.356
Dy3 0.612 0.388 0.856
Dy4 0.615 0.385 0.278
Sc1 0.304 0.696 0.057
Sc2 0.696 0.304 0.557

Magnetic moment in μB per formula unit: 0.000
Formation energy from the elements in eV per formula unit: 1.478
Calculated volume in Å³/atom: 33.29

=====

La2Pm5DySc: optimized geometry, GGA-PBE.

Lattice parameters (Å, degrees): 11.393 11.393 10.169 90.00 90.00 152.21
Atoms (fractional coordinates):
La1 0.117 0.883 0.506
La2 0.117 0.883 0.994
La3 0.883 0.117 0.006
La4 0.883 0.117 0.494
Pm1 0.001 0.999 0.250
Pm2 0.276 0.724 0.564
Pm3 0.276 0.724 0.936
Pm4 0.372 0.628 0.250
Pm5 0.500 0.500 0.000
Pm6 0.500 0.500 0.500
Pm7 0.628 0.372 0.750
Pm8 0.724 0.276 0.064
Pm9 0.724 0.276 0.436
Pm10 0.999 0.001 0.750
Dy1 0.397 0.603 0.750
Dy2 0.603 0.397 0.250
Sc1 0.214 0.786 0.250
Sc2 0.786 0.214 0.750

Magnetic moment in μB per formula unit: 0.001
Formation energy from the elements in eV per formula unit: 1.037
Calculated volume in Å³/atom: 34.18

=====

LaPm2Dy5Sc: optimized geometry, GGA-PBE.

Lattice parameters (Å, degrees): 9.847 9.847 9.847 127.59 127.59 77.29
Atoms (fractional coordinates):
La1 0.250 0.250 0.000
La2 0.750 0.750 0.000
Pm1 0.119 0.619 0.737
Pm2 0.381 0.119 0.500
Pm3 0.619 0.881 0.500
Pm4 0.881 0.381 0.263
Dy1 0.000 0.000 0.000
Dy2 0.066 0.157 0.500
Dy3 0.157 0.657 0.091
Dy4 0.343 0.434 0.500
Dy5 0.434 0.934 0.091
Dy6 0.500 0.500 0.000
Dy7 0.566 0.066 0.909
Dy8 0.657 0.566 0.500
Dy9 0.843 0.343 0.909
Dy10 0.934 0.843 0.500
Sc1 0.250 0.750 0.500
Sc2 0.750 0.250 0.500

Magnetic moment in μB per formula unit: 0.002
Formation energy from the elements in eV per formula unit: 2.440
Calculated volume in Å³/atom: 32.32

=====

LaPm4Dy2Sc: optimized geometry, GGA-PBE.

Lattice parameters (Å, degrees): 5.056 5.073 10.173 90.00 90.00 90.00
Atoms (fractional coordinates):
La1 0.000 0.000 0.000
Pm1 0.000 0.500 0.249
Pm2 0.000 0.500 0.751
Pm3 0.500 0.000 0.250
Pm4 0.500 0.000 0.750
Dy1 0.000 0.000 0.500
Dy2 0.500 0.500 0.500
Sc1 0.500 0.500 0.000

Magnetic moment in μB per formula unit: 0.000
Formation energy from the elements in eV per formula unit: 0.248
Calculated volume in Å³/atom: 32.62

=====

LaPm3DySc: optimized geometry, GGA-PBE.

Lattice parameters (Å, degrees): 7.962 5.113 10.176 90.00 108.87 90.00
Atoms (fractional coordinates):
La1 0.177 0.250 0.298
La2 0.823 0.750 0.702
Pm1 0.171 0.250 0.790
Pm2 0.171 0.750 0.044
Pm3 0.178 0.750 0.543
Pm4 0.822 0.250 0.457
Pm5 0.829 0.250 0.956
Pm6 0.829 0.750 0.210
Dy1 0.499 0.750 0.874
Dy2 0.501 0.250 0.126
Sc1 0.500 0.250 0.624
Sc2 0.500 0.750 0.376

Magnetic moment in μB per formula unit: 0.002
Formation energy from the elements in eV per formula unit: 0.290
Calculated volume in Å³/atom: 32.67

=====

LaPm2Dy4Sc: optimized geometry, GGA-PBE.

Lattice parameters (Å, degrees): 5.882 5.882 7.418 90.00 90.00 90.00
Atoms (fractional coordinates):
La1 0.000 0.000 0.000
Pm1 0.000 0.000 0.500
Pm2 0.500 0.500 0.500
Dy1 0.000 0.500 0.246
Dy2 0.000 0.500 0.754
Dy3 0.500 0.000 0.246
Dy4 0.500 0.000 0.754
Sc1 0.500 0.500 0.000

Magnetic moment in μB per formula unit: 0.002
Formation energy from the elements in eV per formula unit: 1.075
Calculated volume in Å³/atom: 32.08

=====

La3Pm6Dy2Sc: optimized geometry, GGA-PBE.

Lattice parameters (Å, degrees): 6.285 6.285 12.004 95.02 95.02 120.05
Atoms (fractional coordinates):
La1 0.000 0.000 0.000
La2 0.333 0.667 0.000
La3 0.667 0.333 0.000
Pm1 0.090 0.420 0.259
Pm2 0.250 0.250 0.742
Pm3 0.420 0.090 0.259
Pm4 0.580 0.910 0.741
Pm5 0.750 0.750 0.258
Pm6 0.910 0.580 0.741
Dy1 0.167 0.833 0.500
Dy2 0.833 0.167 0.500
Sc1 0.500 0.500 0.500

Magnetic moment in μB per formula unit: 0.001
Formation energy from the elements in eV per formula unit: 0.410
Calculated volume in Å³/atom: 33.68

=====

La2Pm4DySc: optimized geometry, GGA-PBE.

Lattice parameters (Å, degrees): 5.081 5.102 10.286 90.00 90.07 90.00
Atoms (fractional coordinates):
La1 0.000 0.000 0.000
La2 0.500 0.500 0.500
Pm1 0.000 0.500 0.254
Pm2 0.000 0.500 0.746
Pm3 0.499 0.000 0.745
Pm4 0.501 0.000 0.255
Dy1 0.500 0.500 0.000
Sc1 0.000 0.000 0.500

Magnetic moment in μB per formula unit: 0.000
Formation energy from the elements in eV per formula unit: 0.339
Calculated volume in Å³/atom: 33.33

=====

La6Pm2DySc: optimized geometry, GGA-PBE.

Lattice parameters (Å, degrees): 6.808 6.808 8.852 102.85 102.85 62.50
Atoms (fractional coordinates):
La1 0.086 0.576 0.204
La2 0.123 0.123 0.398
La3 0.424 0.914 0.796
La4 0.576 0.086 0.204
La5 0.877 0.877 0.602
La6 0.914 0.424 0.796
Pm1 0.406 0.406 0.832
Pm2 0.594 0.594 0.168
Dy1 0.500 0.500 0.500
Sc1 0.000 0.000 0.000

Magnetic moment in μB per formula unit: 0.000
Formation energy from the elements in eV per formula unit: 2.088
Calculated volume in Å³/atom: 35.14

=====

La4PmDy2Sc: optimized geometry, GGA-PBE.

Lattice parameters (Å, degrees): 5.894 5.907 7.790 90.00 90.01 90.00
Atoms (fractional coordinates):
La1 0.001 0.000 0.237
La2 0.499 0.500 0.235
La3 0.501 0.500 0.765
La4 0.999 0.000 0.763
Pm1 0.000 0.500 0.500
Dy1 0.000 0.500 0.000
Dy2 0.500 0.000 0.500
Sc1 0.500 0.000 0.000

Magnetic moment in μB per formula unit: 0.001
Formation energy from the elements in eV per formula unit: 0.533
Calculated volume in Å³/atom: 33.90

=====

La2PmDy5Sc: optimized geometry, GGA-PBE.

Lattice parameters (Å, degrees): 10.310 10.310 10.533 90.00 90.00 148.36
Atoms (fractional coordinates):
La1 0.114 0.886 0.500
La2 0.116 0.884 0.920
La3 0.884 0.116 0.420
La4 0.886 0.114 0.000
Pm1 0.411 0.589 0.648
Pm2 0.589 0.411 0.148
Dy1 0.016 0.984 0.205
Dy2 0.277 0.723 0.507
Dy3 0.296 0.704 0.889
Dy4 0.375 0.625 0.205
Dy5 0.484 0.516 0.927
Dy6 0.516 0.484 0.427
Dy7 0.625 0.375 0.705
Dy8 0.704 0.296 0.389
Dy9 0.723 0.277 0.007
Dy10 0.984 0.016 0.705
Sc1 0.198 0.802 0.199
Sc2 0.802 0.198 0.699

Magnetic moment in μB per formula unit: 0.000
Formation energy from the elements in eV per formula unit: 1.389
Calculated volume in Å³/atom: 32.63

=====

La2Pm6Dy3Sc: optimized geometry, GGA-PBE.

Lattice parameters (Å, degrees): 6.251 6.251 11.958 95.04 95.04 120.02
Atoms (fractional coordinates):
La1 0.167 0.833 0.000
La2 0.833 0.167 0.000
Pm1 0.088 0.417 0.748
Pm2 0.254 0.254 0.253
Pm3 0.417 0.088 0.748
Pm4 0.583 0.912 0.252
Pm5 0.746 0.746 0.747
Pm6 0.912 0.583 0.252
Dy1 0.000 0.000 0.500
Dy2 0.334 0.666 0.500
Dy3 0.666 0.334 0.500
Sc1 0.500 0.500 0.000

Magnetic moment in μB per formula unit: 0.000
Formation energy from the elements in eV per formula unit: 0.350
Calculated volume in Å³/atom: 33.19

=====

LaPmDy2Se4: optimized geometry, GGA-PBE.

Lattice parameters (Å, degrees): 7.150 4.101 7.359 90.00 108.70 90.00
Atoms (fractional coordinates):
La1 0.000 0.000 0.000
Pm1 0.500 0.500 0.000
Dy1 0.000 0.500 0.500
Dy2 0.500 0.000 0.500
Se1 0.248 0.000 0.736
Se2 0.259 0.500 0.267
Se3 0.741 0.500 0.733
Se4 0.752 0.000 0.264

Magnetic moment in μB per formula unit: 0.000
Energy relative to the elements, uncorrected in eV/atom: -1.84
Calculated volume in Å³/atom: 25.55

=====

La3PmDy3Se8: optimized geometry, GGA-PBE.

Lattice parameters (Å, degrees): 8.423 8.423 8.423 59.09 59.09 59.09
Atoms (fractional coordinates):
La1 0.000 0.500 0.500
La2 0.500 0.000 0.500
La3 0.500 0.500 0.000
Pm1 0.500 0.500 0.500
Dy1 0.000 0.000 0.500
Dy2 0.000 0.500 0.000
Dy3 0.500 0.000 0.000
Se1 0.235 0.753 0.753
Se2 0.244 0.244 0.244
Se3 0.247 0.247 0.765
Se4 0.247 0.765 0.247
Se5 0.753 0.235 0.753
Se6 0.753 0.753 0.235
Se7 0.756 0.756 0.756
Se8 0.765 0.247 0.247

Magnetic moment in μB per formula unit: 0.000
Energy relative to the elements, uncorrected in eV/atom: -1.92
Calculated volume in Å³/atom: 27.58

=====

LaPm2Dy3Se6: optimized geometry, GGA-PBE.

Lattice parameters (Å, degrees): 7.158 7.158 7.281 99.42 99.42 120.26
Atoms (fractional coordinates):
La1 0.000 0.000 0.000
Pm1 0.332 0.668 0.000
Pm2 0.668 0.332 0.000
Dy1 0.166 0.834 0.500
Dy2 0.500 0.500 0.500
Dy3 0.834 0.166 0.500
Se1 0.089 0.425 0.265
Se2 0.250 0.250 0.737
Se3 0.425 0.089 0.265
Se4 0.575 0.911 0.735
Se5 0.750 0.750 0.263
Se6 0.911 0.575 0.735

Magnetic moment in μB per formula unit: 0.000
Energy relative to the elements, uncorrected in eV/atom: -1.82
Calculated volume in Å³/atom: 25.36

=====

La2PmDy3Se6: optimized geometry, GGA-PBE.

Lattice parameters (Å, degrees): 9.370 9.370 8.448 104.27 104.27 25.47
Atoms (fractional coordinates):
La1 0.166 0.166 0.332
La2 0.834 0.834 0.668
Pm1 0.500 0.500 0.000
Dy1 0.167 0.167 0.833
Dy2 0.500 0.500 0.500
Dy3 0.833 0.833 0.167
Se1 0.005 0.005 0.744
Se2 0.331 0.331 0.929
Se3 0.337 0.337 0.407
Se4 0.663 0.663 0.593
Se5 0.669 0.669 0.071
Se6 0.995 0.995 0.256

Magnetic moment in μB per formula unit: 0.000
Energy relative to the elements, uncorrected in eV/atom: -1.85
Calculated volume in Å³/atom: 25.72

=====

LaPmDySe3: optimized geometry, GGA-PBE.

Lattice parameters (Å, degrees): 7.282 4.101 10.889 90.00 102.83 90.00
Atoms (fractional coordinates):
La1 0.159 0.250 0.194
La2 0.841 0.750 0.806
Pm1 0.264 0.750 0.557
Pm2 0.736 0.250 0.443
Dy1 0.378 0.250 0.870
Dy2 0.622 0.750 0.130
Se1 0.049 0.250 0.669
Se2 0.226 0.750 0.999
Se3 0.446 0.750 0.340
Se4 0.554 0.250 0.660
Se5 0.774 0.250 0.001
Se6 0.951 0.750 0.331

Magnetic moment in μB per formula unit: 0.000
Energy relative to the elements, uncorrected in eV/atom: -1.82
Calculated volume in Å³/atom: 26.42

=====

La2PmDySe4: optimized geometry, GGA-PBE.

Lattice parameters (Å, degrees): 7.313 4.180 7.376 90.00 108.97 90.00
Atoms (fractional coordinates):
La1 0.000 0.000 0.000
La2 0.500 0.500 0.000
Pm1 0.000 0.500 0.500
Dy1 0.500 0.000 0.500
Se1 0.251 0.000 0.738
Se2 0.261 0.500 0.266
Se3 0.739 0.500 0.734
Se4 0.749 0.000 0.262

Magnetic moment in μB per formula unit: 0.000
Energy relative to the elements, uncorrected in eV/atom: -1.90
Calculated volume in Å³/atom: 26.65

=====

La3Pm2DySe6: optimized geometry, GGA-PBE.

Lattice parameters (Å, degrees): 7.331 7.331 7.347 99.57 99.57 120.14
Atoms (fractional coordinates):
La1 0.000 0.000 0.000
La2 0.330 0.670 0.000
La3 0.670 0.330 0.000
Pm1 0.167 0.833 0.500
Pm2 0.833 0.167 0.500
Dy1 0.500 0.500 0.500
Se1 0.095 0.421 0.263
Se2 0.254 0.254 0.741
Se3 0.421 0.095 0.263
Se4 0.579 0.905 0.737
Se5 0.746 0.746 0.259
Se6 0.905 0.579 0.737

Magnetic moment in μB per formula unit: 0.000
Energy relative to the elements, uncorrected in eV/atom: -1.91
Calculated volume in Å³/atom: 26.83